A plane-wave DFT calculation with PBE was carried out for a relaxed Ti4AlFe2 crystal.

Calculated values
Crystal system = trigonal
ΔE_f = 40 meV per atom

POSCAR file:
```
Ti4AlFe2
1.0
-3.113 -0.654 -2.149
0.167 -2.497 -2.912
-3.429 -7.714 3.887
Fe Ti Al
2 4 1
Direct
0.098 0.098 0.707
0.902 0.902 0.293
0.799 0.799 0.603
0.606 0.606 0.182
0.394 0.394 0.818
0.201 0.201 0.397
0.000 0.000 0.000
```